No. 1
Ac2Tb2Y15 after structural relaxation. Source: Alexandria, functional PBE-GGA.

Values from the calculation:
volume: 676 Å³/f.u.
total moment: 8.52 μB/cell
formation energy: 0.261 eV/atom

a = 11.5383 Å, b = 11.5383 Å, c = 17.5854 Å
α = 90.00°, β = 90.00°, γ = 120.00°
Closest atoms and distances in Å follow each position.
Space group R-3m (No. 166, hexagonal axes)
Asymmetric unit:
1 Ac 0.0000 0.0000 0.1665 [6 per cell]  15 Y 4.07-4.44, 1 Tb 4.18
2 Tb 0.0000 0.0000 0.4041 [6 per cell]  1 Tb 3.37, 3 Y 3.56
3 Y 0.0000 0.2969 0.5000 [18 per cell]  8 Y 3.41-3.80, 2 Tb 3.82
4 Y 0.0000 0.5000 0.0000 [9 per cell]  8 Y 3.40-3.41, 2 Tb 3.56
5 Y 0.0075 0.5038 0.6423 [18 per cell]  6 Y 3.37-3.43


No. 2
AcTb2Y after structural relaxation. Source: Alexandria, functional PBE-GGA.

Values from the calculation:
volume: 141 Å³/f.u.
total moment: 0.00 μB/cell
relative energy among the computed polymorphs: 5 meV/atom
formation energy: 0.058 eV/atom

a = 3.6991 Å, b = 3.6991 Å, c = 35.6047 Å
α = 90.00°, β = 90.00°, γ = 120.00°
Closest atoms and distances in Å follow each position.
Space group R3m (No. 160, hexagonal axes)
Asymmetric unit:
1 Ac 0.0000 0.0000 0.0000 [3 per cell]  6 Ac 3.70, 6 Tb 3.75-3.77
2 Tb 0.0000 0.0000 0.5793 [3 per cell]  3 Y 3.56, 6 Tb 3.70, 3 Ac 3.77
3 Tb 0.0000 0.0000 0.7533 [3 per cell]  3 Y 3.54, 6 Tb 3.70, 3 Ac 3.75
4 Y 0.0000 0.0000 0.1660 [3 per cell]  6 Tb 3.54-3.56, 6 Y 3.70


No. 3
Ac12Tb6Y after structural relaxation. Source: Alexandria, functional PBE-GGA.

Values from the calculation:
volume: 804 Å³/f.u.
total moment: 0.00 μB/cell
formation energy: 0.269 eV/atom

a = 15.7637 Å, b = 15.7637 Å, c = 11.2030 Å
α = 90.00°, β = 90.00°, γ = 120.00°
Closest atoms and distances in Å follow each position.
Space group R-3 (No. 148, hexagonal axes)
Asymmetric unit:
1 Ac 0.0515 0.8066 0.0768 [18 per cell]  5 Tb 3.59-3.91, 1 Y 3.63, 5 Ac 3.72-3.92
2 Ac 0.0642 0.8369 0.4178 [18 per cell]  4 Tb 3.63-3.97, 6 Ac 3.69-3.84
3 Tb 0.0537 0.8334 0.7580 [18 per cell]  9 Ac 3.59-3.97, 1 Tb 3.94
4 Y 0.0000 0.0000 0.0000 [3 per cell]  6 Ac 3.63


No. 4
Ac3Tb3Y after structural relaxation. Source: Alexandria, functional PBE-GGA.

Values from the calculation:
volume: 261 Å³/f.u.
total moment: 0.00 μB/cell
formation energy: 0.059 eV/atom

a = 9.9240 Å, b = 9.9240 Å, c = 18.3835 Å
α = 90.00°, β = 90.00°, γ = 120.00°
Closest atoms and distances in Å follow each position.
Space group R-3 (No. 148, hexagonal axes)
Asymmetric unit:
1 Ac 0.0409 0.8008 0.4160 [18 per cell]  5 Tb 3.64-3.89, 2 Y 3.75-3.87, 5 Ac 3.78-3.82
2 Tb 0.0506 0.8178 0.9168 [18 per cell]  2 Y 3.61-3.79, 5 Ac 3.64-3.89, 5 Tb 3.65-3.76
3 Y 0.0000 0.0000 0.2428 [6 per cell]  6 Tb 3.61-3.79, 6 Ac 3.75-3.87


No. 5
Ac8TbY2 after structural relaxation. Source: Alexandria, functional PBE-GGA.

Values from the calculation:
volume: 455 Å³/f.u.
total moment: 0.00 μB/cell
formation energy: 0.047 eV/atom

a = 19.6434 Å, b = 5.5404 Å, c = 8.6712 Å
α = 90.00°, β = 105.48°, γ = 90.00°
Closest atoms and distances in Å follow each position.
Space group C2/m (No. 12)
Asymmetric unit:
1 Ac 0.0470 0.0000 0.2300 [4 per cell]  1 Y 3.84, 9 Ac 3.87-3.94, 2 Tb 3.89
2 Ac 0.0939 0.5000 0.9529 [4 per cell]  3 Y 3.80-3.83, 8 Ac 3.83-3.99, 1 Tb 3.87
3 Ac 0.1383 0.0000 0.6897 [4 per cell]  3 Y 3.76-3.87, 7 Ac 3.83-3.91, 2 Tb 3.92
4 Ac 0.1816 0.5000 0.4151 [4 per cell]  1 Tb 3.83, 3 Y 3.86-3.95, 8 Ac 3.87-3.92
5 Tb 0.0000 0.5000 0.5000 [2 per cell]  12 Ac 3.83-3.92
6 Y 0.2263 0.0000 0.1322 [4 per cell]  10 Ac 3.76-3.95, 2 Y 3.87


No. 6
Ac2Tb3Y8 after structural relaxation. Source: Alexandria, functional PBE-GGA.

Values from the calculation:
volume: 449 Å³/f.u.
total moment: 0.00 μB/cell
formation energy: 0.202 eV/atom

a = 13.2684 Å, b = 11.8045 Å, c = 6.2610 Å
α = 90.00°, β = 113.79°, γ = 90.00°
Closest atoms and distances in Å follow each position.
Space group C2/m (No. 12)
Asymmetric unit:
1 Ac 0.2022 0.0000 0.3550 [4 per cell]  9 Y 3.33-3.72, 1 Tb 3.68
2 Tb 0.0000 0.2527 0.0000 [4 per cell]  8 Y 3.49-3.90
3 Tb 0.0000 0.5000 0.5000 [2 per cell]  2 Y 3.17
4 Y 0.0693 0.0000 0.7754 [4 per cell]  4 Y 3.19-3.41, 2 Ac 3.33-3.36
5 Y 0.1512 0.5000 0.0412 [4 per cell]  3 Tb 3.17-3.49, 1 Y 3.41, 1 Ac 3.48
6 Y 0.1664 0.2476 0.6744 [8 per cell]  3 Y 3.36-3.75, 2 Ac 3.49-3.68, 2 Tb 3.56-3.61


No. 7
Ac2Tb5Y after structural relaxation. Source: Alexandria, functional PBE-GGA.

Values from the calculation:
volume: 280 Å³/f.u.
total moment: 0.00 μB/cell
formation energy: 0.054 eV/atom

a = 5.2413 Å, b = 5.2413 Å, c = 20.3900 Å
α = 90.00°, β = 90.00°, γ = 90.00°
Closest atoms and distances in Å follow each position.
Space group I4/mmm (No. 139)
Asymmetric unit:
1 Ac 0.0000 0.0000 0.2505 [4 per cell]  4 Ac 3.71, 8 Tb 3.74-3.75
2 Tb 0.0000 0.0000 0.0000 [2 per cell]  8 Tb 3.57, 4 Y 3.71
3 Tb 0.0000 0.5000 0.1187 [8 per cell]  6 Tb 3.57-3.71, 2 Y 3.57, 4 Ac 3.74-3.75
4 Y 0.0000 0.0000 0.5000 [2 per cell]  12 Tb 3.57-3.71


No. 8
AcTb3Y4 after structural relaxation. Source: Alexandria, functional PBE-GGA.

Values from the calculation:
volume: 271 Å³/f.u.
total moment: 0.00 μB/cell
relative energy among the computed polymorphs: 0 meV/atom
formation energy: 0.160 eV/atom

a = 3.4925 Å, b = 11.8226 Å, c = 13.1252 Å
α = 90.00°, β = 90.00°, γ = 90.00°
Closest atoms and distances in Å follow each position.
Space group Immm (No. 71)
Asymmetric unit:
1 Ac 0.0000 0.0000 0.0000 [2 per cell]  2 Ac 3.49, 4 Y 3.50, 4 Tb 3.65
2 Tb 0.0000 0.0000 0.5000 [2 per cell]  6 Tb 3.49-3.79, 8 Y 3.82
3 Tb 0.0000 0.5000 0.2559 [4 per cell]  2 Y 3.30, 2 Tb 3.49, 2 Ac 3.65
4 Y 0.0000 0.2547 0.1352 [8 per cell]  1 Tb 3.30, 5 Y 3.48-3.55, 1 Ac 3.50


No. 9
AcTb2Y after structural relaxation. Source: Alexandria, functional PBE-GGA.

Values from the calculation:
volume: 140 Å³/f.u.
total moment: 0.00 μB/cell
relative energy among the computed polymorphs: 0 meV/atom
formation energy: 0.053 eV/atom

a = 5.1764 Å, b = 5.1764 Å, c = 5.2175 Å
α = 90.00°, β = 90.00°, γ = 90.00°
Closest atoms and distances in Å follow each position.
Space group P4/mmm (No. 123)
Asymmetric unit:
1 Ac 0.0000 0.0000 0.0000 [1 per cell]  4 Y 3.66, 8 Tb 3.67
2 Tb 0.0000 0.5000 0.5000 [2 per cell]  4 Tb 3.66, 4 Ac 3.67, 4 Y 3.67
3 Y 0.5000 0.5000 0.0000 [1 per cell]  4 Ac 3.66, 8 Tb 3.67


No. 10
AcTb2Y2 after structural relaxation. Source: Alexandria, functional PBE-GGA.

Values from the calculation:
volume: 185 Å³/f.u.
total moment: 0.00 μB/cell
relative energy among the computed polymorphs: 275 meV/atom
formation energy: 0.406 eV/atom

a = 3.6154 Å, b = 17.3418 Å, c = 23.5874 Å
α = 90.00°, β = 90.00°, γ = 90.00°
Closest atoms and distances in Å follow each position.
Space group Fddd (No. 70, origin choice 2)
Asymmetric unit:
1 Ac 0.1250 0.1250 0.1250 [8 per cell]  4 Tb 3.49, 2 Ac 3.62, 4 Y 3.69
2 Tb 0.1250 0.2972 0.6250 [16 per cell]  4 Tb 3.25-3.62, 2 Y 3.35, 2 Ac 3.49
3 Y 0.0000 0.0000 0.0000 [16 per cell]  2 Tb 3.35, 2 Y 3.62, 2 Ac 3.69


No. 11
AcTb7Y4 after structural relaxation. Source: Alexandria, functional PBE-GGA.

Values from the calculation:
volume: 413 Å³/f.u.
total moment: 0.00 μB/cell
relative energy among the computed polymorphs: 287 meV/atom
formation energy: 0.297 eV/atom

a = 12.2717 Å, b = 6.0726 Å, c = 12.6502 Å
α = 90.00°, β = 118.90°, γ = 90.00°
Closest atoms and distances in Å follow each position.
Space group C2/m (No. 12)
Asymmetric unit:
1 Ac 0.0000 0.0000 0.0000 [2 per cell]  4 Tb 3.04-3.26
2 Tb 0.0000 0.5000 0.0000 [2 per cell]  2 Ac 3.04, 2 Tb 3.13
3 Tb 0.0539 0.0000 0.3424 [4 per cell]  4 Tb 3.36-3.54, 3 Y 3.63-3.68
4 Tb 0.1330 0.5000 0.5072 [4 per cell]  4 Tb 3.18-3.54, 3 Y 3.29-3.45
5 Tb 0.2154 0.0000 0.9194 [4 per cell]  2 Tb 3.13-3.36, 4 Y 3.26-3.44, 1 Ac 3.26
6 Y 0.1265 0.5000 0.7755 [4 per cell]  7 Tb 3.38-3.63
7 Y 0.2418 0.5000 0.3155 [4 per cell]  5 Tb 3.26-3.65